! LiTl2Sb | the Alexandria database | PBE | optimized geometry; values from VASP
&SYSTEM
  ibrav = 0, nat = 4, ntyp = 3
/
ATOMIC_SPECIES
Sb 121.76 Sb.upf
Tl 204.38 Tl.upf
Li 6.94 Li.upf
CELL_PARAMETERS angstrom
9.286 -0.078 -0.046
8.588 3.532 -0.046
8.588 1.660 3.118
ATOMIC_POSITIONS crystal
Sb 0.750 0.750 0.750
Tl 0.506 0.506 0.506
Li 0.250 0.250 0.250
Tl 0.994 0.994 0.994
! ΔE_f (raw): -0.0260 eV per atom
! DFT total energy: -10.9 eV per cell
! DOS at the Fermi energy: 2.01 states/eV per cell
! Calculated volume: 106 Å³ per cell